No. 1
Sc2HgBi2 GGA-PBE relaxed; D(E_F) = 0.143 states/eV per atom; energy above the lowest structure with this stoichiometry = 0.000 eV/atom; uncorrected energy = -4.595 eV per atom
1.0
8.059 0.000 0.000
0.000 8.059 0.000
0.000 0.000 4.022
Sc Hg Bi
4 2 4
Cartesian
1.176 2.854 0.000
2.854 6.884 0.000
5.205 1.176 0.000
6.884 5.205 0.000
0.000 0.000 0.000
4.030 4.030 0.000
1.279 5.309 2.011
2.751 1.279 2.011
5.309 6.780 2.011
6.780 2.751 2.011

***

No. 2
Dy3ScPd GGA-PBE relaxed; D(E_F) = 1.582 states/eV per atom; uncorrected energy = -5.319 eV per atom
1.0
5.596 -4.228 0.000
5.596 4.228 0.000
-4.725 0.000 6.013
Dy Sc Pd
6 2 2
Cartesian
-1.018 0.000 1.872
2.024 1.684 1.622
2.024 -1.684 1.622
4.444 1.684 4.391
4.444 -1.684 4.391
7.486 0.000 4.140
1.344 0.000 4.413
5.124 0.000 1.600
-1.262 0.000 5.516
7.730 0.000 0.496

***

No. 3
YCrRu2 GGA-PBE relaxed; D(E_F) = 1.789 states/eV per atom; energy above the lowest structure with this stoichiometry = 0.335 eV/atom; uncorrected energy = -8.302 eV per atom
1.0
6.446 0.000 0.000
0.000 6.446 0.000
0.000 0.000 6.446
Y Cr Ru
4 4 8
Cartesian
0.000 0.000 0.000
0.000 3.223 3.223
3.223 0.000 3.223
3.223 3.223 0.000
1.611 1.611 4.834
1.611 4.834 1.611
4.834 1.611 1.611
4.834 4.834 4.834
0.000 0.000 3.223
0.000 3.223 0.000
1.611 1.611 1.611
1.611 4.834 4.834
3.223 0.000 0.000
3.223 3.223 3.223
4.834 1.611 4.834
4.834 4.834 1.611

***

No. 4
NdPaN3 GGA-PBE relaxed; D(E_F) = 0.626 states/eV per atom; raw formation energy = -1.18 eV/atom; uncorrected energy = -9.031 eV per atom
1.0
5.827 -4.850 0.000
5.827 4.850 0.000
-0.663 0.000 6.021
Nd Pa N
4 4 12
Cartesian
2.449 1.077 1.691
2.117 -1.077 4.702
8.873 1.077 1.319
8.541 -1.077 4.329
5.661 2.836 1.505
5.329 0.909 4.515
5.661 -0.909 1.505
5.329 -2.836 4.515
1.007 0.880 5.456
4.169 2.233 3.202
1.338 -0.880 2.445
4.696 0.872 0.416
6.490 2.233 5.828
4.365 -0.872 3.427
6.626 0.872 2.594
4.500 -2.233 0.192
6.294 -0.872 5.604
9.652 0.880 3.575
6.822 -2.233 2.818
9.983 -0.880 0.565

***

No. 5
LaTb3NdTm GGA-PBE relaxed; D(E_F) = 2.004 states/eV per atom; uncorrected energy = -4.566 eV per atom
1.0
2.966 -5.687 0.000
2.966 5.687 0.000
0.000 0.000 11.834
La Tb Nd Tm
2 6 2 2
Cartesian
2.966 5.576 8.875
2.966 -5.576 2.958
2.966 3.692 0.084
2.966 3.692 5.833
2.966 1.983 8.875
2.966 -1.983 2.958
2.966 -3.692 6.001
2.966 -3.692 11.750
2.966 0.000 0.000
2.966 0.000 5.917
2.966 1.904 2.958
2.966 -1.904 8.875

***

No. 6
CdGe2Au2 GGA-PBE relaxed; D(E_F) = 0.423 states/eV per atom; energy above the lowest structure with this stoichiometry = 0.000 eV/atom; uncorrected energy = -3.268 eV per atom
1.0
3.926 0.000 0.000
0.000 3.926 0.000
0.000 0.000 13.255
Cd Ge Au
2 4 4
Cartesian
0.000 0.000 0.000
1.963 1.963 6.627
0.000 1.963 3.314
0.000 1.963 9.941
1.963 0.000 3.314
1.963 0.000 9.941
0.000 0.000 5.279
0.000 0.000 7.976
1.963 1.963 1.349
1.963 1.963 11.906

***

No. 7
LaZrTa2 GGA-PBE relaxed; D(E_F) = 1.219 states/eV per atom; energy above the lowest structure with this stoichiometry = 0.198 eV/atom; uncorrected energy = -8.891 eV per atom
1.0
3.566 0.000 0.000
0.000 5.054 0.000
0.000 0.000 10.137
La Zr Ta
2 2 4
Cartesian
0.000 0.000 0.000
1.783 2.527 5.069
0.000 2.527 2.421
1.783 0.000 7.490
0.000 0.000 4.717
0.000 2.527 7.752
1.783 0.000 2.684
1.783 2.527 9.786

***

No. 8
PmDy2Ho GGA-PBE relaxed; D(E_F) = 2.129 states/eV per atom; energy above the lowest structure with this stoichiometry = 0.110 eV/atom; uncorrected energy = -4.509 eV per atom
1.0
3.688 0.000 0.000
0.000 5.888 0.000
0.000 0.000 11.882
Pm Dy Ho
2 4 2
Cartesian
0.000 0.000 0.000
1.844 2.944 5.941
0.000 0.000 5.977
0.000 2.944 9.004
1.844 0.000 3.063
1.844 2.944 0.036
0.000 2.944 2.920
1.844 0.000 8.861

***

No. 9
Te2AuCl GGA-PBE relaxed; D(E_F) = 0.052 states/eV per atom; raw formation energy = -0.26 eV/atom; uncorrected energy = -3.112 eV per atom
1.0
12.900 0.000 0.000
0.000 4.070 0.000
-1.324 0.000 4.586
Te Au Cl
4 2 2
Cartesian
0.000 0.000 0.000
1.321 0.000 3.354
6.450 2.035 0.000
7.771 2.035 3.354
0.643 2.035 1.675
7.093 0.000 1.675
3.832 0.000 2.183
10.282 2.035 2.183

***

No. 10
TmLuHfSc GGA-PBE relaxed; D(E_F) = 2.471 states/eV per atom; uncorrected energy = -6.083 eV per atom
1.0
7.486 0.000 0.000
0.000 7.486 0.000
0.000 0.000 7.486
Tm Lu Hf Sc
4 4 4 4
Cartesian
0.000 0.000 0.000
0.000 3.743 3.743
3.743 0.000 3.743
3.743 3.743 0.000
1.871 1.871 5.614
1.871 5.614 1.871
5.614 1.871 1.871
5.614 5.614 5.614
0.000 0.000 3.743
0.000 3.743 0.000
3.743 0.000 0.000
3.743 3.743 3.743
1.871 1.871 1.871
1.871 5.614 5.614
5.614 1.871 5.614
5.614 5.614 1.871

***

No. 11
Sm3ErTm2Bi6 GGA-PBE relaxed; D(E_F) = 0.166 states/eV per atom; uncorrected energy = -5.103 eV per atom
1.0
9.798 -2.250 0.000
9.798 2.250 0.000
-2.042 0.000 8.758
Sm Er Tm Bi
3 1 2 6
Cartesian
0.000 0.000 0.000
5.173 0.000 5.840
12.381 0.000 2.919
-1.021 0.000 4.379
6.191 0.000 1.459
11.364 0.000 7.299
2.032 0.000 5.154
3.145 0.000 0.686
9.239 0.000 2.226
8.315 0.000 6.532
14.409 0.000 8.072
15.522 0.000 3.605

***

No. 12
Ac6PmNd3 GGA-PBE relaxed; D(E_F) = 1.434 states/eV per atom; uncorrected energy = -4.169 eV per atom
1.0
8.144 0.000 0.000
0.000 10.169 0.000
-8.144 0.000 10.161
Ac Pm Nd
12 2 6
Cartesian
-2.035 1.691 3.311
-6.107 3.394 8.391
-3.996 1.329 6.443
0.075 3.756 1.363
-3.997 6.425 8.807
0.075 8.829 3.727
-0.075 1.340 6.434
3.997 3.745 1.353
-0.075 6.413 8.798
3.997 8.840 3.718
6.107 6.775 1.769
2.035 8.479 6.850
4.072 0.000 0.000
0.000 5.085 5.080
0.000 0.000 0.000
-4.072 5.085 5.080
2.038 6.833 1.610
-2.034 8.420 6.690
2.034 1.749 3.470
-2.038 3.336 8.550

***

No. 13
Ta2GaHRh GGA-PBE relaxed; D(E_F) = 0.544 states/eV per atom; energy above the lowest structure with this stoichiometry = 0.093 eV/atom; uncorrected energy = -7.634 eV per atom
1.0
3.936 0.000 0.000
0.000 3.936 0.000
0.000 0.000 4.376
Ta Ga H Rh
2 1 1 1
Cartesian
0.000 1.968 0.000
1.968 0.000 0.000
0.000 0.000 2.188
0.000 0.000 0.000
1.968 1.968 2.188

***

No. 14
ZnGa3Ni5 GGA-PBE relaxed; D(E_F) = 0.627 states/eV per atom; uncorrected energy = -4.675 eV per atom
1.0
7.116 0.000 0.000
-3.558 6.163 0.000
0.000 0.000 5.054
Zn Ga Ni
2 6 10
Cartesian
0.000 0.000 0.000
0.000 0.000 2.527
-1.306 2.262 1.263
-2.252 3.901 3.790
2.612 0.000 1.263
1.306 2.262 3.790
4.505 0.000 3.790
2.252 3.901 1.263
-1.080 1.870 3.790
-2.478 4.293 1.263
2.160 0.000 3.790
1.080 1.870 1.263
0.000 4.109 0.000
0.000 4.109 2.527
3.558 2.054 0.000
3.558 2.054 2.527
4.957 0.000 1.263
2.478 4.293 3.790

***

No. 15
Ta3BeFe GGA-PBE relaxed; D(E_F) = 0.576 states/eV per atom; energy above the lowest structure with this stoichiometry = 0.132 eV/atom; uncorrected energy = -8.575 eV per atom
1.0
4.541 0.000 0.000
0.000 4.541 0.000
0.000 0.000 4.541
Ta Be Fe
3 1 1
Cartesian
0.000 0.000 2.270
0.000 2.270 0.000
2.270 0.000 0.000
2.270 2.270 2.270
0.000 0.000 0.000

***

No. 16
BaLiHg4 GGA-PBE relaxed; D(E_F) = 0.694 states/eV per atom; energy above the lowest structure with this stoichiometry = 0.052 eV/atom; uncorrected energy = -1.107 eV per atom
1.0
0.000 4.384 4.384
4.384 0.000 4.384
4.384 4.384 0.000
Ba Li Hg
1 1 4
Cartesian
0.000 0.000 0.000
2.192 2.192 2.192
5.472 3.296 3.296
3.296 5.472 3.296
3.296 3.296 5.472
5.472 5.472 5.472

***

No. 17
NaLiScHg2 GGA-PBE relaxed; D(E_F) = 0.604 states/eV per atom; uncorrected energy = -1.724 eV per atom
1.0
5.252 0.000 0.000
0.000 5.252 0.000
0.000 0.000 4.207
Na Li Sc Hg
1 1 1 2
Cartesian
0.000 0.000 0.000
0.000 0.000 2.103
2.626 2.626 2.103
0.000 2.626 0.000
2.626 0.000 0.000

***

No. 18
Pa2NbGe2 GGA-PBE relaxed; D(E_F) = 1.209 states/eV per atom; energy above the lowest structure with this stoichiometry = 0.100 eV/atom; uncorrected energy = -8.008 eV per atom
1.0
2.364 -7.756 0.000
2.364 7.756 0.000
0.000 0.000 5.871
Pa Nb Ge
4 2 4
Cartesian
2.364 7.709 2.935
2.364 4.744 1.662
2.364 -4.744 4.597
2.364 -7.709 0.000
2.364 1.685 1.436
2.364 -1.685 4.371
2.364 4.922 4.584
2.364 1.175 4.382
2.364 -1.175 1.446
2.364 -4.922 1.648

***

No. 19
Tl6SnO12 GGA-PBE relaxed; D(E_F) = 0.869 states/eV per atom; raw formation energy = -0.66 eV/atom; uncorrected energy = -4.754 eV per atom
1.0
5.016 2.896 3.130
-5.016 2.896 3.130
0.000 -5.792 3.130
Tl Sn O
6 1 12
Cartesian
-3.489 -1.044 4.828
-0.840 -3.543 4.562
-2.649 2.499 4.562
2.649 -2.499 4.828
0.840 3.543 4.828
3.489 1.044 4.562
0.000 0.000 4.695
-4.166 0.971 4.086
-2.924 -3.122 5.305
-1.147 -1.399 3.640
1.242 -4.094 4.086
-0.638 1.693 3.640
-1.786 0.294 5.750
1.786 -0.294 3.640
0.638 -1.693 5.750
-1.242 4.094 5.305
1.147 1.399 5.750
2.924 3.122 4.086
4.166 -0.971 5.305

***

No. 20
Na2Pr3TmSe6 GGA-PBE relaxed; D(E_F) = 0.288 states/eV per atom; raw formation energy = -1.71 eV/atom; uncorrected energy = -5.243 eV per atom
1.0
3.651 -6.316 0.000
3.651 6.316 0.000
-2.419 0.000 6.881
Na Pr Tm Se
2 3 1 6
Cartesian
3.651 4.229 0.000
3.651 -4.229 0.000
-1.209 0.000 3.441
2.442 2.162 3.441
2.442 -2.162 3.441
3.651 0.000 0.000
0.048 2.042 5.241
1.303 0.000 1.685
0.048 -2.042 5.241
4.835 2.042 1.640
3.580 0.000 5.196
4.835 -2.042 1.640